VASP calculation (PBE) on an optimized crystal structure of KHgOs2.

a b c (Å): 2.946 2.946 9.502
angles (deg): 90.00 90.00 90.00
Each line ends with the local moment (μB).
Fractional coordinates of all 4 atoms:
Hg1 0.000 0.000 0.454  0.00
K1 0.500 0.500 0.767  0.01
Os1 0.000 0.000 0.062  0.14
Os2 0.500 0.500 0.217  0.04

Properties
The calculation puts the total magnetization at 0.27 Bohr magnetons per cell. For the formation energy, the calculation gives 15.1 kcal/mol of atoms. The uncorrected energy is -5.31 eV/atom. Its space-group type is P4mm, No. 99.

=====

VASP calculation (PBE) on an optimized crystal structure of LaAg3Br.

a b c (Å): 5.237 5.237 5.237
angles (deg): 90.00 90.00 90.00
Fractional coordinates of all 5 atoms:
Br1 0.000 0.000 0.000
Ag1 0.000 0.500 0.000
Ag2 0.000 0.000 0.500
Ag3 0.500 0.000 0.000
La1 0.500 0.500 0.500

Properties
The calculation puts the total magnetization at 0.00 Bohr magnetons per cell. The uncorrected energy is -2.54 eV/atom. As for the relative energy among the computed polymorphs: 0 meV per atom. For the uncorrected formation energy, the calculation gives 0.49 eV/atom. Its space-group type is Pm-3m, No. 221.

=====

Number 1 is which compound? KHgOs2

=====

What is the uncorrected energy in the first record? -5.31 eV/atom

=====

What is the formula in the first record? KHgOs2